1.
Rb4PSe5: optimized geometry, PBE-GGA.

Summary:
E	-3.312	eV per atom

Cell: 8.3003 8.3003 8.3003 Å, 99.91 99.91 130.97°
Each line ends with the local moment (μB).
Element x y z (fractional)
1 Rb 0.6047 0.2100 0.8218  0.00
2 Se 0.0590 0.7894 0.8505  0.16
3 Se 0.7894 0.9388 0.7304  0.16
4 Rb 0.7829 0.6047 0.3947  0.00
5 Se 0.5916 0.5916 0.0000  0.00
6 Rb 0.2100 0.3882 0.6053  0.00
7 Se 0.2085 0.0590 0.2696  0.16
8 P 0.9168 0.9168 0.0000  -0.01
9 Rb 0.3882 0.7829 0.1782  0.00
10 Se 0.9388 0.2085 0.1495  0.16

=====

2.
RbPSe: optimized geometry, PBE-GGA.

Summary:
E	-3.879	eV per atom

Cell: 4.5307 5.3508 8.6991 Å, 72.13 105.15 90.00°
Element x y z (fractional)
1 P 0.2333 0.1912 0.6376
2 Rb 0.0739 0.8496 0.3202
3 Se 0.5578 0.3655 0.2879
4 P 0.6991 0.2249 0.5695
5 Se 0.3746 0.0506 0.9192
6 Rb 0.8585 0.5665 0.8870

=====

3.
Rb2PSe4: optimized geometry, PBE-GGA.

Summary:
E	-3.710	eV per atom
ΔE to the lowest computed polymorph	0	meV per atom

Cell: 7.3778 6.0517 12.3567 Å, 90.00 98.68 90.00°
Element x y z (fractional)
1 Rb 0.7629 0.7500 0.5432
2 Se 0.5360 0.4912 0.2942
3 P 0.3205 0.7500 0.2380
4 P 0.6795 0.2500 0.7620
5 Se 0.2392 0.7500 0.0610
6 Rb 0.2444 0.2500 0.9201
7 Se 0.9158 0.2500 0.6732
8 Rb 0.2371 0.2500 0.4568
9 Se 0.4640 0.5088 0.7058
10 Se 0.7608 0.2500 0.9390
11 Rb 0.7556 0.7500 0.0799
12 Se 0.5360 0.0088 0.2942
13 Se 0.0842 0.7500 0.3268
14 Se 0.4640 0.9912 0.7058

=====

4.
Rb2PSe4: optimized geometry, PBE-GGA.

Summary:
E	-3.330	eV per atom
ΔE to the lowest computed polymorph	380	meV per atom

Cell: 5.0713 5.0713 9.3072 Å, 74.19 74.19 90.00°
Element x y z (fractional)
1 Se 0.1399 0.1399 0.7202
2 Se 0.8601 0.8601 0.2798
3 Se 0.0000 0.5000 0.0000
4 Rb 0.6492 0.6492 0.7015
5 Rb 0.3508 0.3508 0.2985
6 P 0.0000 0.0000 0.0000
7 Se 0.5000 0.0000 0.0000

=====

Density of states at the Fermi level list, top to bottom, in states/eV/f.u.: 1.9; 0.4; 3.9; 7.2